1.
A geometry-optimized AcPm2Au3 structure, computed with PBE.

```
AcPm2Au3
1.0
3.7586 0.0000 0.0000
0.0000 3.7586 0.0000
0.0000 0.0000 11.3129
Ac Pm Au
1 2 3
Direct
0.0000 0.0000 0.0000 Ac
0.0000 0.0000 0.3388 Pm
0.0000 0.0000 0.6612 Pm
0.5000 0.5000 0.1868 Au
0.5000 0.5000 0.5000 Au
0.5000 0.5000 0.8132 Au
```

Summary:
Energy of formation (eV/f.u.): -4.65
SG: P4/mmm
DOS at the Fermi energy (states/eV/cell): 3.2
Total moment (μB per cell): 0.00
Calculated volume (Å³/f.u.): 159.8

=====

2.
A geometry-optimized CaTb3Sm6Y2 structure, computed with PBE.

```
CaTb3Sm6Y2
1.0
3.1388 -5.4367 0.0000
3.1388 5.4367 0.0000
-2.0806 0.0000 11.7440
Ca Tb Sm Y
1 3 6 2
Direct
0.0000 0.0000 0.0000 Ca
0.1663 0.8337 0.5000 Tb
0.5000 0.5000 0.5000 Tb
0.8337 0.1663 0.5000 Tb
0.0846 0.4241 0.2531 Sm
0.2547 0.2547 0.7463 Sm
0.4241 0.0846 0.2531 Sm
0.5759 0.9154 0.7469 Sm
0.7453 0.7453 0.2537 Sm
0.9154 0.5759 0.7469 Sm
0.3333 0.6667 0.0000 Y
0.6667 0.3333 0.0000 Y
```

Summary:
Energy of formation (eV/f.u.): 0.44
SG: C2/m
DOS at the Fermi energy (states/eV/cell): 15.4
Total moment (μB per cell): 0.00
Calculated volume (Å³/f.u.): 400.8

=====

3.
A geometry-optimized Pu2Zn3Cu structure, computed with PBE.

```
Pu2Zn3Cu
1.0
5.4081 0.0000 0.0000
-2.7041 4.6836 0.0000
0.0000 0.0000 8.7378
Pu Zn Cu
4 6 2
Direct
0.3333 0.6667 0.0550 Pu
0.3333 0.6667 0.4450 Pu
0.6667 0.3333 0.5550 Pu
0.6667 0.3333 0.9450 Pu
0.1630 0.3260 0.7500 Zn
0.1630 0.8370 0.7500 Zn
0.3260 0.1630 0.2500 Zn
0.6740 0.8370 0.7500 Zn
0.8370 0.1630 0.2500 Zn
0.8370 0.6740 0.2500 Zn
0.0000 0.0000 0.0000 Cu
0.0000 0.0000 0.5000 Cu
```

Summary:
Energy of formation (eV/f.u.): -0.84
SG: P6_3/mmc
DOS at the Fermi energy (states/eV/cell): 27.5
Total moment (μB per cell): 22.59
Calculated volume (Å³/f.u.): 110.7

=====

4.
A geometry-optimized SrFe2Re structure, computed with PBE.

```
SrFe2Re
1.0
-3.5541 3.5541 3.0973
3.5541 -3.5541 3.0973
3.5541 3.5541 -3.0973
Sr Fe Re
2 4 2
Direct
0.0000 0.0000 0.0000 Sr
0.7500 0.2500 0.5000 Sr
0.2029 0.6250 0.0779 Fe
0.3750 0.4529 0.5779 Fe
0.5471 0.1250 0.9221 Fe
0.8750 0.7971 0.4221 Fe
0.2500 0.7500 0.5000 Re
0.5000 0.5000 0.0000 Re
```

Summary:
Energy of formation (eV/f.u.): 4.16
SG: I-42d
DOS at the Fermi energy (states/eV/cell): 7.7
Total moment (μB per cell): 1.74
Calculated volume (Å³/f.u.): 78.2

=====

5.
A geometry-optimized ZrPt structure, computed with PBE.

```
ZrPt
1.0
3.1271 0.0000 0.0000
-1.5635 2.7081 0.0000
0.0000 0.0000 9.1284
Zr Pt
2 2
Direct
0.3333 0.6667 0.3574 Zr
0.6667 0.3333 0.6426 Zr
0.3333 0.6667 0.8771 Pt
0.6667 0.3333 0.1229 Pt
```

Summary:
Energy of formation (eV/f.u.): -0.70
SG: P-3m1
DOS at the Fermi energy (states/eV/cell): 1.7
Total moment (μB per cell): 0.00
Calculated volume (Å³/f.u.): 38.7

=====

6.
A geometry-optimized Ho2ScAu3 structure, computed with PBE.

```
Ho2ScAu3
1.0
4.9918 0.0000 0.0000
-2.4959 4.3230 0.0000
0.0000 0.0000 12.2376
Ho Sc Au
4 2 6
Direct
0.0000 0.0000 0.0000 Ho
0.0000 0.0000 0.5000 Ho
0.3333 0.6667 0.1715 Ho
0.6667 0.3333 0.8285 Ho
0.3333 0.6667 0.6645 Sc
0.6667 0.3333 0.3355 Sc
0.0000 0.0000 0.2549 Au
0.0000 0.0000 0.7451 Au
0.3333 0.6667 0.4189 Au
0.3333 0.6667 0.9101 Au
0.6667 0.3333 0.0899 Au
0.6667 0.3333 0.5811 Au
```

Summary:
Energy of formation (eV/f.u.): -5.00
SG: P-3m1
DOS at the Fermi energy (states/eV/cell): 7.0
Total moment (μB per cell): 0.00
Calculated volume (Å³/f.u.): 132.0

=====

7.
A geometry-optimized Sc2Pa3C4 structure, computed with PBE.

```
Sc2Pa3C4
1.0
5.9386 -1.7633 0.0000
5.9386 1.7633 0.0000
-4.6644 0.0000 7.2867
Sc Pa C
2 3 4
Direct
0.1164 0.1164 0.3860 Sc
0.8836 0.8836 0.6140 Sc
0.3085 0.3085 0.2117 Pa
0.5000 0.5000 0.0000 Pa
0.6915 0.6915 0.7883 Pa
0.1056 0.1056 0.9054 C
0.2892 0.2892 0.6940 C
0.7108 0.7108 0.3060 C
0.8944 0.8944 0.0946 C
```

Summary:
Energy of formation (eV/f.u.): -3.82
SG: C2/m
DOS at the Fermi energy (states/eV/cell): 7.5
Total moment (μB per cell): 0.00
Calculated volume (Å³/f.u.): 152.6

=====

8.
A geometry-optimized Ba2Mg12Ag7 structure, computed with PBE.

```
Ba2Mg12Ag7
1.0
11.2002 0.0000 0.0000
-5.6001 9.6996 0.0000
0.0000 0.0000 4.5816
Ba Mg Ag
2 12 7
Direct
0.0000 0.0000 0.0000 Ba
0.3333 0.6667 0.5000 Ba
0.0325 0.2886 0.5000 Mg
0.1220 0.7384 0.0000 Mg
0.2560 0.9675 0.5000 Mg
0.2616 0.3836 0.0000 Mg
0.3870 0.1939 0.0000 Mg
0.5546 0.4245 0.5000 Mg
0.5755 0.1300 0.5000 Mg
0.6164 0.8780 0.0000 Mg
0.7114 0.7440 0.5000 Mg
0.8061 0.1931 0.0000 Mg
0.8069 0.6130 0.0000 Mg
0.8700 0.4454 0.5000 Mg
0.0448 0.4556 0.0000 Ag
0.2582 0.2312 0.5000 Ag
0.4108 0.9552 0.0000 Ag
0.5444 0.5892 0.0000 Ag
0.6667 0.3333 0.0000 Ag
0.7688 0.0269 0.5000 Ag
0.9731 0.7418 0.5000 Ag
```

Summary:
Energy of formation (eV/f.u.): -3.96
SG: P-6
DOS at the Fermi energy (states/eV/cell): 8.5
Total moment (μB per cell): 0.00
Calculated volume (Å³/f.u.): 497.7

=====

9.
A geometry-optimized Th11Ru4Pb9 structure, computed with PBE.

```
Th11Ru4Pb9
1.0
7.3043 -10.9193 0.0000
7.3043 10.9193 0.0000
0.0000 0.0000 4.1444
Th Ru Pb
11 4 9
Direct
0.0000 0.0000 0.0000 Th
0.0846 0.4167 0.0000 Th
0.1622 0.8378 0.0000 Th
0.3102 0.3102 0.0000 Th
0.3736 0.6264 0.0000 Th
0.4167 0.0846 0.0000 Th
0.5833 0.9154 0.0000 Th
0.6264 0.3736 0.0000 Th
0.6898 0.6898 0.0000 Th
0.8378 0.1622 0.0000 Th
0.9154 0.5833 0.0000 Th
0.2435 0.4483 0.5000 Ru
0.4483 0.2435 0.5000 Ru
0.5517 0.7565 0.5000 Ru
0.7565 0.5517 0.5000 Ru
0.0676 0.2159 0.5000 Pb
0.1502 0.6298 0.5000 Pb
0.2159 0.0676 0.5000 Pb
0.3702 0.8498 0.5000 Pb
0.5000 0.5000 0.5000 Pb
0.6298 0.1502 0.5000 Pb
0.7841 0.9324 0.5000 Pb
0.8498 0.3702 0.5000 Pb
0.9324 0.7841 0.5000 Pb
```

Summary:
Energy of formation (eV/f.u.): -8.59
SG: Cmmm
DOS at the Fermi energy (states/eV/cell): 24.0
Total moment (μB per cell): 0.00
Calculated volume (Å³/f.u.): 661.1

=====

10.
A geometry-optimized TlIn2BrCl2 structure, computed with PBE.

```
TlIn2BrCl2
1.0
6.7405 0.0000 0.0000
0.0000 6.9052 0.0000
-3.2721 0.0000 10.4938
Tl In Br Cl
2 4 2 4
Direct
0.0968 0.2500 0.3555 Tl
0.9032 0.7500 0.6445 Tl
0.3966 0.0012 0.8264 In
0.3966 0.4988 0.8264 In
0.6034 0.5012 0.1736 In
0.6034 0.9988 0.1736 In
0.2561 0.7500 0.1743 Br
0.7439 0.2500 0.8257 Br
0.1475 0.2500 0.6288 Cl
0.4618 0.7500 0.6378 Cl
0.5382 0.2500 0.3622 Cl
0.8525 0.7500 0.3712 Cl
```

Summary:
SG: P2_1/m
Energy relative to the elements, uncorrected (eV/atom): -0.72
DOS at the Fermi energy (states/eV/cell): 0.0
Total moment (μB per cell): 0.00
Calculated volume (Å³/f.u.): 244.2

=====

11.
A geometry-optimized NbAlCr4 structure, computed with PBE.

```
NbAlCr4
1.0
4.9012 0.0000 0.0000
-2.4506 4.2446 0.0000
0.0000 0.0000 7.7761
Nb Al Cr
2 2 8
Direct
0.3333 0.6667 0.0616 Nb
0.6667 0.3333 0.9384 Nb
0.3333 0.6667 0.4340 Al
0.6667 0.3333 0.5660 Al
0.0000 0.0000 0.0000 Cr
0.0000 0.0000 0.5000 Cr
0.1708 0.3416 0.7435 Cr
0.1708 0.8292 0.7435 Cr
0.3416 0.1708 0.2565 Cr
0.6584 0.8292 0.7435 Cr
0.8292 0.1708 0.2565 Cr
0.8292 0.6584 0.2565 Cr
```

Summary:
Energy of formation (eV/f.u.): -0.15
SG: P-3m1
DOS at the Fermi energy (states/eV/cell): 10.5
Total moment (μB per cell): 0.00
Calculated volume (Å³/f.u.): 80.9

=====

12.
A geometry-optimized GeAs2C structure, computed with PBE.

```
GeAs2C
1.0
-3.0277 3.0277 3.8539
3.0277 -3.0277 3.8539
3.0277 3.0277 -3.8539
Ge As C
2 4 2
Direct
0.0000 0.0000 0.0000 Ge
0.7500 0.2500 0.5000 Ge
0.2110 0.1250 0.5860 As
0.3750 0.7890 0.9140 As
0.5390 0.6250 0.4140 As
0.8750 0.4610 0.0860 As
0.2500 0.7500 0.5000 C
0.5000 0.5000 0.0000 C
```

Summary:
Energy of formation (eV/f.u.): 3.03
SG: I-42d
DOS at the Fermi energy (states/eV/cell): 2.2
Total moment (μB per cell): 0.00
Calculated volume (Å³/f.u.): 70.7

=====

13.
A geometry-optimized ZrCCl3 structure, computed with PBE.

```
ZrCCl3
1.0
5.0249 0.0000 0.0000
0.0000 5.0249 0.0000
0.0000 0.0000 5.0249
Zr C Cl
1 1 3
Direct
0.0000 0.0000 0.0000 Zr
0.5000 0.5000 0.5000 C
0.0000 0.0000 0.5000 Cl
0.0000 0.5000 0.0000 Cl
0.5000 0.0000 0.0000 Cl
```

Summary:
SG: Pm-3m
Energy relative to the elements, uncorrected (eV/atom): 0.26
DOS at the Fermi energy (states/eV/cell): 19.0
Total moment (μB per cell): 2.44
Calculated volume (Å³/f.u.): 126.9

=====

14.
A geometry-optimized PW structure, computed with PBE.

```
PW
1.0
1.5697 -4.3297 0.0000
1.5697 4.3297 0.0000
0.0000 0.0000 4.2470
P W
2 2
Direct
0.1013 0.8987 0.7500 P
0.8987 0.1013 0.2500 P
0.3825 0.6175 0.7500 W
0.6175 0.3825 0.2500 W
```

Summary:
Energy of formation (eV/f.u.): -0.12
SG: Cmcm
DOS at the Fermi energy (states/eV/cell): 2.6
Total moment (μB per cell): 0.00
Calculated volume (Å³/f.u.): 28.9

=====

15.
A geometry-optimized SmY6Se8 structure, computed with PBE.

```
SmY6Se8
1.0
0.0000 5.7646 5.7646
5.7646 0.0000 5.7646
5.7646 5.7646 0.0000
Sm Y Se
1 6 8
Direct
0.0000 0.0000 0.0000 Sm
0.0000 0.0000 0.5000 Y
0.0000 0.5000 0.0000 Y
0.0000 0.5000 0.5000 Y
0.5000 0.0000 0.0000 Y
0.5000 0.0000 0.5000 Y
0.5000 0.5000 0.0000 Y
0.2500 0.2500 0.2500 Se
0.2572 0.2572 0.7428 Se
0.2572 0.7428 0.2572 Se
0.2572 0.7428 0.7428 Se
0.7428 0.2572 0.2572 Se
0.7428 0.2572 0.7428 Se
0.7428 0.7428 0.2572 Se
0.7500 0.7500 0.7500 Se
```

Summary:
SG: Fm-3m
Energy relative to the elements, uncorrected (eV/atom): -1.84
DOS at the Fermi energy (states/eV/cell): 6.4
Total moment (μB per cell): 0.00
Calculated volume (Å³/f.u.): 383.1

=====

16.
A geometry-optimized BeC2 structure, computed with PBE.

```
BeC2
1.0
3.4535 0.0000 0.0000
0.0000 3.4535 0.0000
0.0000 0.0000 3.4896
Be C
2 4
Direct
0.2500 0.2500 0.1800 Be
0.7500 0.7500 0.8200 Be
0.2500 0.2500 0.6769 C
0.2500 0.7500 0.5000 C
0.7500 0.2500 0.5000 C
0.7500 0.7500 0.3231 C
```

Summary:
Energy of formation (eV/f.u.): 5.22
SG: P4/nmm
DOS at the Fermi energy (states/eV/cell): 1.3
Total moment (μB per cell): 0.00
Calculated volume (Å³/f.u.): 20.8

=====

17.
A geometry-optimized SrY4Pd4 structure, computed with PBE.

```
SrY4Pd4
1.0
9.4160 0.0000 0.0000
0.0000 9.4160 0.0000
0.0000 0.0000 5.6810
Sr Y Pd
2 8 8
Direct
0.2500 0.2500 0.2500 Sr
0.7500 0.7500 0.7500 Sr
0.0907 0.6461 0.1644 Y
0.1461 0.9093 0.6644 Y
0.3539 0.5907 0.6644 Y
0.4093 0.8539 0.1644 Y
0.5907 0.1461 0.8356 Y
0.6461 0.4093 0.3356 Y
0.8539 0.0907 0.3356 Y
0.9093 0.3539 0.8356 Y
0.0527 0.6095 0.6641 Pd
0.1095 0.9473 0.1641 Pd
0.3905 0.5527 0.1641 Pd
0.4473 0.8905 0.6641 Pd
0.5527 0.1095 0.3359 Pd
0.6095 0.4473 0.8359 Pd
0.8905 0.0527 0.8359 Pd
0.9473 0.3905 0.3359 Pd
```

Summary:
Energy of formation (eV/f.u.): -5.89
SG: P4_2/n
DOS at the Fermi energy (states/eV/cell): 13.2
Total moment (μB per cell): 0.00
Calculated volume (Å³/f.u.): 251.8

=====

18.
A geometry-optimized LaDyEr2 structure, computed with PBE.

```
LaDyEr2
1.0
3.5888 0.0000 0.0000
0.0000 3.5888 0.0000
0.0000 0.0000 10.0773
La Dy Er
1 1 2
Direct
0.0000 0.0000 0.0000 La
0.0000 0.0000 0.5000 Dy
0.5000 0.5000 0.2575 Er
0.5000 0.5000 0.7425 Er
```

Summary:
Energy of formation (eV/f.u.): 0.14
SG: P4/mmm
DOS at the Fermi energy (states/eV/cell): 6.7
Total moment (μB per cell): 0.00
Calculated volume (Å³/f.u.): 129.8

=====

19.
A geometry-optimized Hf2AgSb structure, computed with PBE.

```
Hf2AgSb
1.0
4.3921 0.0000 0.0000
0.0000 4.3921 0.0000
0.0000 0.0000 4.2830
Hf Ag Sb
2 1 1
Direct
0.0000 0.5000 0.0000 Hf
0.5000 0.0000 0.0000 Hf
0.0000 0.0000 0.5000 Ag
0.5000 0.5000 0.5000 Sb
```

Summary:
SG: P4/mmm
Energy relative to the elements, uncorrected (eV/atom): -0.18
DOS at the Fermi energy (states/eV/cell): 2.7
Total moment (μB per cell): 0.00
Calculated volume (Å³/f.u.): 82.6

=====

20.
A geometry-optimized Sc3BW structure, computed with PBE.

```
Sc3BW
1.0
4.5679 0.0000 0.0000
0.0000 4.5679 0.0000
0.0000 0.0000 4.5679
Sc B W
3 1 1
Direct
0.0000 0.0000 0.5000 Sc
0.0000 0.5000 0.0000 Sc
0.5000 0.0000 0.0000 Sc
0.0000 0.0000 0.0000 B
0.5000 0.5000 0.5000 W
```

Summary:
Energy of formation (eV/f.u.): 2.24
SG: Pm-3m
DOS at the Fermi energy (states/eV/cell): 10.3
Total moment (μB per cell): 0.00
Calculated volume (Å³/f.u.): 95.3

=====

21.
A geometry-optimized LiLa2ThS4 structure, computed with PBE.

```
LiLa2ThS4
1.0
7.0055 0.0000 0.0000
0.0000 4.0653 0.0000
-2.3151 0.0000 6.6486
Li La Th S
1 2 1 4
Direct
0.0000 0.0000 0.0000 Li
0.5000 0.0000 0.5000 La
0.5000 0.5000 0.0000 La
0.0000 0.5000 0.5000 Th
0.2344 0.0000 0.7551 S
0.2336 0.5000 0.2412 S
0.7656 0.0000 0.2449 S
0.7664 0.5000 0.7588 S
```

Summary:
SG: P2/m
Energy relative to the elements, uncorrected (eV/atom): -1.91
DOS at the Fermi energy (states/eV/cell): 4.2
Total moment (μB per cell): 0.00
Calculated volume (Å³/f.u.): 189.4

=====

22.
A geometry-optimized Nd2InS3 structure, computed with PBE.

```
Nd2InS3
1.0
-1.8287 2.4804 8.0120
1.8287 -2.4804 8.0120
1.8287 2.4804 -8.0120
Nd In S
2 1 3
Direct
0.1473 0.1473 0.0000 Nd
0.8527 0.8527 0.0000 Nd
0.5000 0.5000 0.0000 In
0.0000 0.5000 0.5000 S
0.3221 0.3221 0.0000 S
0.6779 0.6779 0.0000 S
```

Summary:
SG: Immm
Energy relative to the elements, uncorrected (eV/atom): -1.32
DOS at the Fermi energy (states/eV/cell): 1.7
Total moment (μB per cell): 0.00
Calculated volume (Å³/f.u.): 145.4

=====

23.
A geometry-optimized Cs2Tl2Te2S structure, computed with PBE.

```
Cs2Tl2Te2S
1.0
7.9554 -2.4652 0.0000
7.9554 2.4652 0.0000
-5.0793 0.0000 7.7755
Cs Tl Te S
2 2 2 1
Direct
0.0546 0.0546 0.3108 Cs
0.9454 0.9454 0.6892 Cs
0.3112 0.3112 0.9185 Tl
0.6888 0.6888 0.0815 Tl
0.3252 0.3252 0.2759 Te
0.6748 0.6748 0.7241 Te
0.5000 0.5000 0.0000 S
```

Summary:
SG: C2/m
Energy relative to the elements, uncorrected (eV/atom): -0.66
DOS at the Fermi energy (states/eV/cell): 2.3
Total moment (μB per cell): 0.00
Calculated volume (Å³/f.u.): 305.0